The following is a DFT calculation (PBE) of a geometry-optimized ReBiAsN2 structure.

Output
- Mass density: 8.95 Mg/m³
- Calculated total energy: -33.992 eV for the cell shown

```
ReBiAsN2
1.0
3.924 0.000 0.000
0.000 3.924 0.000
0.000 0.000 6.001
Re Bi As N
1 1 1 2
direct
0.000 0.000 0.000
0.000 0.000 0.500
0.500 0.500 0.500
0.000 0.500 0.000
0.500 0.000 0.000
```